SrLi2SnS4, optimized geometry, DFT PBE; space-group type = No. 15; uncorrected formation energy = -1.093 eV per atom; raw total energy = -4.346 eV per atom; volume = 343 Å³/cell
1.0
5.5118 -5.6277 0.0000
5.5118 5.6277 0.0000
-5.3775 0.0000 5.5218
Sr Li Sn S
2 4 2 8
Direct
0.0000 0.5000 0.0000
0.5000 0.0000 0.5000
0.0000 0.0000 0.0000
0.0000 0.0000 0.5000
0.0000 0.5000 0.5000
0.5000 0.0000 0.0000
0.5000 0.5000 0.0000
0.5000 0.5000 0.5000
0.2473 0.2659 0.5076
0.2659 0.2473 0.0076
0.2758 0.7235 0.5218
0.2765 0.7242 0.9782
0.7235 0.2758 0.0218
0.7242 0.2765 0.4782
0.7341 0.7527 0.9924
0.7527 0.7341 0.4924